(P)
# LaUTc, relaxed, DFT PBE
# - total moment (μB/f.u.) = 0.3
data_LaUTc
_chemical_formula_sum 'La4 U4 Tc4'
_cell_length_a 3.812
_cell_length_b 22.467
_cell_length_c 3.586
_cell_angle_alpha 90.00
_cell_angle_beta 90.00
_cell_angle_gamma 90.00
_symmetry_space_group_name_H-M 'C m c m'
_symmetry_Int_Tables_number 63
_symmetry_space_group_name_Hall '-C 2c 2'
loop_
_atom_site_label
_atom_site_type_symbol
_atom_site_fract_x
_atom_site_fract_y
_atom_site_fract_z
La1 La 0.000 0.186 0.250
U1 U 0.000 0.432 0.750
Tc1 Tc 0.000 0.052 0.750

(Q)
# LaUTc, relaxed, DFT PBE
# - total moment (μB/f.u.) = 0.0
data_LaUTc
_chemical_formula_sum 'La2 U2 Tc2'
_cell_length_a 3.487
_cell_length_b 3.487
_cell_length_c 11.557
_cell_angle_alpha 90.00
_cell_angle_beta 90.00
_cell_angle_gamma 90.00
_symmetry_space_group_name_H-M 'I 4 m m'
_symmetry_Int_Tables_number 107
_symmetry_space_group_name_Hall 'I 4 -2'
loop_
_atom_site_label
_atom_site_type_symbol
_atom_site_fract_x
_atom_site_fract_y
_atom_site_fract_z
La1 La 0.000 0.000 0.000
U1 U 0.000 0.000 0.695
Tc1 Tc 0.000 0.000 0.289

Referenced to the most stable arrangement, the calculated values in meV per atom are (P) 36; (Q) 0.

(P)
# La2VTc, relaxed, DFT PBE
# - total moment (μB/f.u.) = 3.7
data_La2VTc
_chemical_formula_sum 'La8 V4 Tc4'
_cell_length_a 7.266
_cell_length_b 7.266
_cell_length_c 7.266
_cell_angle_alpha 90.00
_cell_angle_beta 90.00
_cell_angle_gamma 90.00
_symmetry_space_group_name_H-M 'F m -3 m'
_symmetry_Int_Tables_number 225
_symmetry_space_group_name_Hall '-F 4 2 3'
loop_
_atom_site_label
_atom_site_type_symbol
_atom_site_fract_x
_atom_site_fract_y
_atom_site_fract_z
La1 La 0.250 0.250 0.250
V1 V 0.000 0.000 0.000
Tc1 Tc 0.000 0.000 0.500

(Q)
# La2VTc, relaxed, DFT PBE
# - total moment (μB/f.u.) = 3.8
data_La2VTc
_chemical_formula_sum 'La8 V4 Tc4'
_cell_length_a 8.048
_cell_length_b 8.048
_cell_length_c 6.253
_cell_angle_alpha 90.00
_cell_angle_beta 90.00
_cell_angle_gamma 90.00
_symmetry_space_group_name_H-M 'I -4 2 d'
_symmetry_Int_Tables_number 122
_symmetry_space_group_name_Hall 'I -4 2bw'
loop_
_atom_site_label
_atom_site_type_symbol
_atom_site_fract_x
_atom_site_fract_y
_atom_site_fract_z
La1 La 0.205 0.250 0.125
V1 V 0.000 0.000 0.500
Tc1 Tc 0.000 0.000 0.000

Referenced to the most stable arrangement, the calculated values in meV per atom are (P) 0; (Q) 281.

(P)
# LaTcW2, relaxed, DFT PBE
# - total moment (μB/f.u.) = 0.0
data_LaTcW2
_chemical_formula_sum 'La2 Tc2 W4'
_cell_length_a 10.230
_cell_length_b 3.170
_cell_length_c 5.265
_cell_angle_alpha 90.00
_cell_angle_beta 105.80
_cell_angle_gamma 90.00
_symmetry_space_group_name_H-M 'C 1 2/m 1'
_symmetry_Int_Tables_number 12
_symmetry_space_group_name_Hall '-C 2y'
loop_
_atom_site_label
_atom_site_type_symbol
_atom_site_fract_x
_atom_site_fract_y
_atom_site_fract_z
La1 La 0.000 0.000 0.000
Tc1 Tc 0.000 0.500 0.500
W1 W 0.215 0.000 0.660

(Q)
# LaTcW2, relaxed, DFT PBE
# - total moment (μB/f.u.) = 0.0
data_LaTcW2
_chemical_formula_sum 'La2 Tc2 W4'
_cell_length_a 8.486
_cell_length_b 3.181
_cell_length_c 6.072
_cell_angle_alpha 90.00
_cell_angle_beta 99.54
_cell_angle_gamma 90.00
_symmetry_space_group_name_H-M 'C 1 m 1'
_symmetry_Int_Tables_number 8
_symmetry_space_group_name_Hall 'C -2y'
loop_
_atom_site_label
_atom_site_type_symbol
_atom_site_fract_x
_atom_site_fract_y
_atom_site_fract_z
La1 La 0.000 0.000 0.000
Tc1 Tc 0.232 0.000 0.694
W1 W 0.004 0.500 0.508
W2 W 0.274 0.500 0.321

(R)
# LaTcW2, relaxed, DFT PBE
# - total moment (μB/f.u.) = 0.0
data_LaTcW2
_chemical_formula_sum 'La2 Tc2 W4'
_cell_length_a 3.878
_cell_length_b 3.878
_cell_length_c 10.203
_cell_angle_alpha 90.00
_cell_angle_beta 90.00
_cell_angle_gamma 90.00
_symmetry_space_group_name_H-M 'I 4/m m m'
_symmetry_Int_Tables_number 139
_symmetry_space_group_name_Hall '-I 4 2'
loop_
_atom_site_label
_atom_site_type_symbol
_atom_site_fract_x
_atom_site_fract_y
_atom_site_fract_z
La1 La 0.000 0.000 0.000
Tc1 Tc 0.000 0.000 0.500
W1 W 0.000 0.500 0.250

Referenced to the most stable arrangement, the calculated values in meV per atom are (P) 0; (Q) 19; (R) 274.

(P)
# LaTcW2, relaxed, DFT PBE
# - total moment (μB/f.u.) = 0.0
data_LaTcW2
_chemical_formula_sum 'La1 Tc1 W2'
_cell_length_a 3.845
_cell_length_b 3.845
_cell_length_c 5.158
_cell_angle_alpha 90.00
_cell_angle_beta 90.00
_cell_angle_gamma 90.00
_symmetry_space_group_name_H-M 'P 4/m m m'
_symmetry_Int_Tables_number 123
_symmetry_space_group_name_Hall '-P 4 2'
loop_
_atom_site_label
_atom_site_type_symbol
_atom_site_fract_x
_atom_site_fract_y
_atom_site_fract_z
La1 La 0.000 0.000 0.000
Tc1 Tc 0.500 0.500 0.000
W1 W 0.000 0.500 0.500

(Q)
# LaTcW2, relaxed, DFT PBE
# - total moment (μB/f.u.) = 0.0
data_LaTcW2
_chemical_formula_sum 'La2 Tc2 W4'
_cell_length_a 5.561
_cell_length_b 9.735
_cell_length_c 2.848
_cell_angle_alpha 90.00
_cell_angle_beta 107.92
_cell_angle_gamma 90.00
_symmetry_space_group_name_H-M 'C 1 2/m 1'
_symmetry_Int_Tables_number 12
_symmetry_space_group_name_Hall '-C 2y'
loop_
_atom_site_label
_atom_site_type_symbol
_atom_site_fract_x
_atom_site_fract_y
_atom_site_fract_z
La1 La 0.000 0.000 0.000
Tc1 Tc 0.000 0.500 0.000
W1 W 0.250 0.250 0.500

(R)
# LaTcW2, relaxed, DFT PBE
# - total moment (μB/f.u.) = 0.0
data_LaTcW2
_chemical_formula_sum 'La1 Tc1 W2'
_cell_length_a 2.928
_cell_length_b 4.284
_cell_length_c 6.438
_cell_angle_alpha 90.00
_cell_angle_beta 97.73
_cell_angle_gamma 90.00
_symmetry_space_group_name_H-M 'P 1 m 1'
_symmetry_Int_Tables_number 6
_symmetry_space_group_name_Hall 'P -2y'
loop_
_atom_site_label
_atom_site_type_symbol
_atom_site_fract_x
_atom_site_fract_y
_atom_site_fract_z
La1 La 0.000 0.000 0.000
Tc1 Tc 0.788 0.500 0.310
W1 W 0.227 0.500 0.674
W2 W 0.505 0.000 0.489

(S)
# LaTcW2, relaxed, DFT PBE
# - total moment (μB/f.u.) = 0.0
data_LaTcW2
_chemical_formula_sum 'La1 Tc1 W2'
_cell_length_a 3.188
_cell_length_b 3.188
_cell_length_c 7.690
_cell_angle_alpha 90.00
_cell_angle_beta 90.00
_cell_angle_gamma 90.00
_symmetry_space_group_name_H-M 'P 4 m m'
_symmetry_Int_Tables_number 99
_symmetry_space_group_name_Hall 'P 4 -2'
loop_
_atom_site_label
_atom_site_type_symbol
_atom_site_fract_x
_atom_site_fract_y
_atom_site_fract_z
La1 La 0.000 0.000 0.000
Tc1 Tc 0.500 0.500 0.309
W1 W 0.000 0.000 0.495
W2 W 0.500 0.500 0.694

Referenced to the most stable arrangement, the calculated values in meV per atom are (P) 469; (Q) 297; (R) 116; (S) 0.

(P)
# LaTcW2, relaxed, DFT PBE
# - total moment (μB/f.u.) = 0.0
data_LaTcW2
_chemical_formula_sum 'La4 Tc4 W8'
_cell_length_a 6.605
_cell_length_b 6.605
_cell_length_c 6.605
_cell_angle_alpha 90.00
_cell_angle_beta 90.00
_cell_angle_gamma 90.00
_symmetry_space_group_name_H-M 'F m -3 m'
_symmetry_Int_Tables_number 225
_symmetry_space_group_name_Hall '-F 4 2 3'
loop_
_atom_site_label
_atom_site_type_symbol
_atom_site_fract_x
_atom_site_fract_y
_atom_site_fract_z
La1 La 0.000 0.000 0.000
Tc1 Tc 0.000 0.000 0.500
W1 W 0.250 0.250 0.250

(Q)
# LaTcW2, relaxed, DFT PBE
# - total moment (μB/f.u.) = 0.0
data_LaTcW2
_chemical_formula_sum 'La4 Tc4 W8'
_cell_length_a 6.645
_cell_length_b 6.645
_cell_length_c 6.645
_cell_angle_alpha 90.00
_cell_angle_beta 90.00
_cell_angle_gamma 90.00
_symmetry_space_group_name_H-M 'F -4 3 m'
_symmetry_Int_Tables_number 216
_symmetry_space_group_name_Hall 'F -4 2 3'
loop_
_atom_site_label
_atom_site_type_symbol
_atom_site_fract_x
_atom_site_fract_y
_atom_site_fract_z
La1 La 0.000 0.000 0.000
Tc1 Tc 0.250 0.250 0.250
W1 W 0.000 0.000 0.500
W2 W 0.250 0.250 0.750

Referenced to the most stable arrangement, the calculated values in meV per atom are (P) 101; (Q) 0.